A geometry-optimized Tm4Tl3Cu structure, computed with PBE-GGA.

Cell: 3.525 3.525 16.038 Å, 90.00 90.00 90.00°
Fractional coordinates of all 8 atoms:
Tm 0.000 0.000 0.104
Tm 0.000 0.000 0.367
Tm 0.000 0.000 0.633
Tm 0.000 0.000 0.896
Tl 0.500 0.500 0.236
Tl 0.500 0.500 0.500
Tl 0.500 0.500 0.764
Cu 0.500 0.500 0.000

Fermi-level density of states   4.22 states/eV/cell
Formation enthalpy at 0 K   -28.7 kJ per mole of atoms